No. 1
Below is ErHICl after structural relaxation, with properties calculated at the PBE level.

Output
The calculation puts the energy above the most stable polymorph in this dataset at 0 meV per atom. The calculation puts the total energy at -4.28 eV per atom.

Unit cell a=3.8319 b=3.8319 c=14.9695 alpha=90.00 beta=90.00 gamma=120.00
Space group P6_3mc (No. 186)
One atom of each set of equivalent atoms:
Er (0.0000, 0.0000, 0.0000)
H (0.3333, 0.6667, 0.0037)
I (0.3333, 0.6667, 0.6438)
Cl (0.3333, 0.6667, 0.3877)

No. 2
Below is K4ErP6H6ClO21 after structural relaxation, with properties calculated at the PBE level.

Output
The calculation puts the total energy at -6.33 eV per atom.

Unit cell a=9.5285 b=9.5285 c=12.0807 alpha=90.00 beta=90.00 gamma=120.00
Space group P6_3/m (No. 176)
One atom of each set of equivalent atoms:
K (0.0000, 0.0000, 0.0000)
K (0.0540, 0.7252, 0.2500)
Er (0.3333, 0.6667, 0.7500)
P (0.1914, 0.4747, 0.0113)
H (0.0192, 0.6401, 0.6842)
Cl (0.0000, 0.0000, 0.2500)
O (0.0517, 0.6006, 0.7500)
O (0.0843, 0.3272, 0.0770)
O (0.1653, 0.6229, 0.0543)
O (0.1868, 0.4716, 0.6126)

No. 3
Below is LaErH2Cl4 after structural relaxation, with properties calculated at the PBE level.

Output
The calculation puts the total energy at -4.72 eV per atom.

Unit cell a=3.8692 b=3.8692 c=13.2811 alpha=90.00 beta=90.00 gamma=120.00
Space group P-6m2 (No. 187)
One atom of each set of equivalent atoms:
La (0.0000, 0.0000, 0.0000)
Er (0.0000, 0.0000, 0.5000)
H (0.3333, 0.6667, 0.5000)
H (0.6667, 0.3333, 0.0000)
Cl (0.3333, 0.6667, 0.1383)
Cl (0.6667, 0.3333, 0.3728)

No. 4
Below is NdErH2Cl4 after structural relaxation, with properties calculated at the PBE level.

Output
The calculation puts the total energy at -4.68 eV per atom.

Unit cell a=3.8104 b=3.8104 c=13.3050 alpha=90.00 beta=90.00 gamma=120.00
Space group P-6m2 (No. 187)
One atom of each set of equivalent atoms:
Nd (0.0000, 0.0000, 0.0000)
Er (0.0000, 0.0000, 0.5000)
H (0.3333, 0.6667, 0.5000)
H (0.6667, 0.3333, 0.0000)
Cl (0.3333, 0.6667, 0.1366)
Cl (0.6667, 0.3333, 0.3719)

No. 5
Below is PrErH2Cl4 after structural relaxation, with properties calculated at the PBE level.

Output
The calculation puts the total energy at -4.68 eV per atom.

Unit cell a=3.8322 b=3.8322 c=13.3073 alpha=90.00 beta=90.00 gamma=120.00
Space group P-6m2 (No. 187)
One atom of each set of equivalent atoms:
Pr (0.0000, 0.0000, 0.0000)
Er (0.0000, 0.0000, 0.5000)
H (0.3333, 0.6667, 0.0000)
H (0.6667, 0.3333, 0.5000)
Cl (0.3333, 0.6667, 0.3724)
Cl (0.6667, 0.3333, 0.1376)

No. 6
Below is ErTmH2Cl4 after structural relaxation, with properties calculated at the PBE level.

Output
The calculation puts the total energy at -4.66 eV per atom.

Unit cell a=3.6820 b=3.6820 c=13.2784 alpha=90.00 beta=90.00 gamma=120.00
Space group P-6m2 (No. 187)
One atom of each set of equivalent atoms:
Er (0.0000, 0.0000, 0.0000)
Tm (0.0000, 0.0000, 0.5000)
H (0.3333, 0.6667, 0.0000)
H (0.6667, 0.3333, 0.5000)
Cl (0.3333, 0.6667, 0.3695)
Cl (0.6667, 0.3333, 0.1315)